# SrLa2Mg

Crystalline SrLa2Mg at its relaxed geometry (PBEsol, Alexandria).

Output
- Symmetry: No. 99

```
4
Lattice="3.771 0.000 0.000 0.000 3.771 0.000 0.000 0.000 9.923" Properties=species:S:1:pos:R:3 pbc="T T T"
Sr 0.000 0.000 0.000
La 0.000 0.000 5.399
La 1.886 1.886 3.012
Mg 1.886 1.886 7.545
```

***

# SrLaMg

Crystalline SrLaMg at its relaxed geometry (PBEsol, Alexandria).

Output
- Symmetry: No. 107

```
3
Lattice="-1.952 1.952 7.053 1.952 -1.952 7.053 1.952 1.952 -7.053" Properties=species:S:1:pos:R:3 pbc="T T T"
Sr 0.000 0.000 0.000
La 0.000 0.000 4.123
Mg 0.000 0.000 9.264
```

***

# SrLa2Mg

Crystalline SrLa2Mg at its relaxed geometry (PBEsol, Alexandria).

Output
- Symmetry: No. 10

```
4
Lattice="3.579 0.000 0.000 0.000 6.071 0.000 -0.792 0.000 6.311" Properties=species:S:1:pos:R:3 pbc="T T T"
Sr 0.000 0.000 0.000
La 0.407 3.036 4.496
La 2.381 3.036 1.815
Mg 1.394 0.000 3.155
```

***

# SrLa2Mg

Crystalline SrLa2Mg at its relaxed geometry (PBEsol, Alexandria).

Output
- Symmetry: No. 71

```
4
Lattice="-1.901 2.909 6.325 1.901 -2.909 6.325 1.901 2.909 -6.325" Properties=species:S:1:pos:R:3 pbc="T T T"
Sr 0.000 0.000 0.000
La 1.901 0.000 3.547
La 0.000 2.909 2.778
Mg 0.000 0.000 6.325
```

***

| no. | Fermi-level density of states (states/eV/f.u.) | E_form (eV/atom) |
| --- | --- | --- |
| 1 | 5.42 | 0.016 |
| 2 | 3.09 | 0.028 |
| 3 | 4.08 | 0.079 |
| 4 | 4.72 | 0.033 |